No. 1
Here is a relaxed SrBiPtAu crystal from OQMD via LeMat-Bulk. Energies are from PBE-GGA.

Computed properties:
The calculation puts the distance to the lowest polymorph of the same formula at 249 meV per atom.

Cell lengths 7.2460, 7.2460, 7.2460 Å; angles 90.00, 90.00, 90.00 degrees
Last column: nearest neighbours and their distance in Å.
Space group F-43m (No. 216)
One atom of each set of equivalent atoms:
Sr: 0.0000 0.0000 0.0000  4 Bi 3.14, 4 Pt 3.14
Bi: 0.2500 0.2500 0.2500  4 Sr 3.14, 4 Au 3.14
Pt: 0.2500 0.2500 0.7500  4 Sr 3.14, 4 Au 3.14
Au: 0.0000 0.0000 0.5000  4 Pt 3.14, 4 Bi 3.14

No. 2
Here is a relaxed NbTlTcNi crystal from OQMD via LeMat-Bulk. Energies are from PBE-GGA.

Computed properties:
The calculation puts the distance to the lowest polymorph of the same formula at 0 meV per atom.

Cell lengths 6.4057, 6.4057, 6.4057 Å; angles 90.00, 90.00, 90.00 degrees
Last column: nearest neighbours and their distance in Å.
Space group F-43m (No. 216)
One atom of each set of equivalent atoms:
Nb: 0.0000 0.0000 0.0000  4 Tc 2.77, 4 Ni 2.77
Tl: 0.0000 0.0000 0.5000  4 Tc 2.77, 4 Ni 2.77
Tc: 0.2500 0.2500 0.2500  4 Tl 2.77, 4 Nb 2.77
Ni: 0.2500 0.2500 0.7500  4 Tl 2.77, 4 Nb 2.77

No. 3
Here is a relaxed NbTl2AgCl6 crystal from OQMD via LeMat-Bulk. Energies are from PBE-GGA.

Computed properties:
The calculated total energy is -3.807 eV per atom.

Cell lengths 7.3875, 7.3875, 17.2986 Å; angles 90.00, 90.00, 120.00 degrees
Last column: nearest neighbours and their distance in Å.
Space group R3 (No. 146, hexagonal axes)
One atom of each set of equivalent atoms:
Nb: 0.0000 0.0000 0.0000  6 Cl 2.50
Tl: 0.0000 0.0000 0.2509  6 Cl 3.20-3.57
Tl: 0.0000 0.0000 0.7493  6 Cl 3.19-3.58
Ag: 0.0000 0.0000 0.4992  6 Cl 2.74-2.75
Cl: 0.0219 0.5789 0.7490  1 Nb 2.50, 1 Ag 2.74
Cl: 0.1096 0.3540 0.5848  1 Nb 2.50, 1 Ag 2.75

No. 4
Here is a relaxed NdTmH2O4 crystal from OQMD via LeMat-Bulk. Energies are from PBE-GGA.

Computed properties:
The calculated total energy is -7.075 eV per atom.

Cell lengths 4.3201, 3.6323, 6.0146 Å; angles 90.00, 109.32, 90.00 degrees
Last column: nearest neighbours and their distance in Å.
Space group Pm (No. 6)
One atom of each set of equivalent atoms:
Nd: 0.0000 0.0000 0.0000  7 O 2.32-2.50
Tm: 0.6713 0.5000 0.3838  7 O 2.23-2.42
H: 0.3123 0.5000 0.7442  1 O 0.98
H: 0.3337 0.0000 0.5757  1 O 0.97
O: 0.0851 0.5000 0.7412  1 H 0.98
O: 0.1112 0.5000 0.2595  2 Tm 2.26-2.28, 2 Nd 2.34
O: 0.5714 0.0000 0.6178  1 H 0.97
O: 0.5766 0.0000 0.1564  2 Tm 2.23, 2 Nd 2.32-2.35